Arrangement w

## GeI2O2 (PBE-GGA)

Data for an optimized crystal structure of GeI2O2.

## Properties
* Fermi-level density of states: 2.9 states/eV per cell
* total magnetization: 0.043 μB per atom

Cell: 4.908 4.908 4.091 Å, 90.00 90.00 90.00°
Last column: magnetic moment on the atom in μB.
Fractional positions:
O (0.000, 0.000, 0.500)  0.18
I (0.000, 0.500, 0.000)  0.01
I (0.500, 0.000, 0.000)  0.01
Ge (0.500, 0.500, 0.500)  -0.01
O (0.000, 0.000, 0.000)  -0.01

Arrangement x

## GeI2O2 (PBE-GGA)

Data for an optimized crystal structure of GeI2O2.

## Properties
* Fermi-level density of states: 6.7 states/eV per cell
* total magnetization: 0.000 μB per atom

Cell: 3.841 3.841 6.881 Å, 73.79 73.79 90.00°
Fractional positions:
I (0.367, 0.367, 0.267)
O (0.250, 0.750, 0.500)
O (0.750, 0.250, 0.500)
Ge (0.000, 0.000, 0.000)
I (0.633, 0.633, 0.733)

Arrangement y

## GeI2O2 (PBE-GGA)

Data for an optimized crystal structure of GeI2O2.

## Properties
* Fermi-level density of states: 3.5 states/eV per cell
* total magnetization: 0.440 μB per atom

Cell: 5.799 5.799 3.625 Å, 90.00 90.00 90.00°
Last column: magnetic moment on the atom in μB.
Fractional positions:
I (0.500, 0.000, 0.000)  0.18
I (0.000, 0.500, 0.000)  0.18
Ge (0.000, 0.000, 0.000)  0.00
O (0.500, 0.500, 0.500)  1.38
O (0.000, 0.000, 0.500)  0.00

Arrangement z

## GeI2O2 (PBE-GGA)

Data for an optimized crystal structure of GeI2O2.

## Properties
* Fermi-level density of states: 3.5 states/eV per cell
* total magnetization: 0.158 μB per atom

Cell: 4.132 4.132 7.995 Å, 90.00 90.00 90.00°
Last column: magnetic moment on the atom in μB.
Fractional positions:
O (0.500, 0.000, 0.000)  0.01
O (0.000, 0.500, 0.000)  0.01
Ge (0.500, 0.500, 0.500)  0.33
I (0.000, 0.000, 0.000)  0.00
I (0.000, 0.000, 0.500)  -0.01

It is arrangement z that is most stable; the runner-up trails by 70 meV/atom.

Arrangement w

## GeI2O2 (PBE-GGA)

Data for an optimized crystal structure of GeI2O2.

## Properties
* Fermi-level density of states: 3.0 states/eV per cell
* total magnetization: 0.000 μB per atom

Cell: 8.338 8.338 2.947 Å, 90.00 90.00 90.00°
Fractional positions:
Ge (0.000, 0.000, 0.000)
I (0.691, 0.191, 0.000)
O (0.829, 0.329, 0.500)
Ge (0.500, 0.500, 0.000)
O (0.329, 0.171, 0.500)
I (0.309, 0.809, 0.000)
I (0.191, 0.309, 0.000)
O (0.671, 0.829, 0.500)
O (0.171, 0.671, 0.500)
I (0.809, 0.691, 0.000)

Arrangement x

## GeI2O2 (PBE-GGA)

Data for an optimized crystal structure of GeI2O2.

## Properties
* Fermi-level density of states: 2.5 states/eV per cell
* total magnetization: 0.065 μB per atom

Cell: 4.098 4.098 6.563 Å, 90.00 90.00 90.00°
Last column: magnetic moment on the atom in μB.
Fractional positions:
I (0.000, 0.000, 0.500)  0.00
I (0.500, 0.500, 0.500)  0.00
O (0.000, 0.500, 0.000)  0.14
Ge (0.000, 0.000, 0.000)  -0.01
O (0.500, 0.000, 0.000)  0.14

It is arrangement x that is most stable; the runner-up trails by 522 meV/atom.

Arrangement w

## Ge3IO (PBE-GGA)

Data for an optimized crystal structure of Ge3IO.

## Properties
* Fermi-level density of states: 4.3 states/eV per cell
* total magnetization: 0.335 μB per atom

Cell: 5.539 5.539 5.539 Å, 90.00 90.00 90.00°
Last column: magnetic moment on the atom in μB.
Fractional positions:
I (0.000, 0.000, 0.000)  -0.01
O (0.500, 0.500, 0.500)  1.11
Ge (0.000, 0.000, 0.500)  -0.01
Ge (0.500, 0.000, 0.000)  0.08
Ge (0.000, 0.500, 0.000)  0.07

Arrangement x

## Ge3IO (PBE-GGA)

Data for an optimized crystal structure of Ge3IO.

## Properties
* Fermi-level density of states: 4.3 states/eV per cell
* total magnetization: 0.000 μB per atom

Cell: 4.694 4.694 4.694 Å, 90.00 90.00 90.00°
Fractional positions:
Ge (0.500, 0.000, 0.000)
Ge (0.000, 0.000, 0.500)
I (0.500, 0.500, 0.500)
O (0.000, 0.000, 0.000)
Ge (0.000, 0.500, 0.000)

It is arrangement x that is most stable; the runner-up trails by 1312 meV/atom.